# 1
# MnGaH2S

A geometry-optimized MnGaH2S structure (GGA-PBE, the Alexandria database).

Results
- calculated volume (Å³/atom) = 13.332
- uncorrected energy (eV for the cell shown) = -22.587

```
MnGaH2S
1.0
-3.142 0.193 -1.506
2.172 -1.660 -4.744
-0.624 -3.319 0.876
Ga H S Mn
1 2 1 1
direct
0.000 0.000 0.000 Ga
0.000 0.000 0.500 H
0.500 0.000 0.000 H
0.000 0.500 0.000 S
0.500 0.500 0.500 Mn
```

---

# 2
# Mn2GaSnH

A geometry-optimized Mn2GaSnH structure (GGA-PBE, the Alexandria database).

Results
- calculated volume (Å³/atom) = 16.230
- uncorrected energy (eV for the cell shown) = -26.218

```
Mn2GaSnH
1.0
-3.018 3.851 0.015
-0.449 -0.364 3.341
3.796 2.972 0.834
Sn H Mn Ga
1 1 2 1
direct
0.500 0.500 0.500 Sn
0.000 0.500 0.000 H
0.000 0.000 0.500 Mn
0.500 0.000 0.000 Mn
0.000 0.000 0.000 Ga
```